Entry 1:
Material: Sm5YTm5
Method: DFT, PBE-GGA
State: relaxed

Cell lengths 6.043, 6.043, 11.740 Å; angles 90.00, 90.00, 120.00 degrees
Fractional coordinates of all 11 atoms:
Tm (0.000, 0.000, 0.734)
Tm (0.000, 0.000, 0.266)
Tm (0.833, 0.667, 0.500)
Tm (0.333, 0.167, 0.500)
Tm (0.833, 0.167, 0.500)
Sm (0.667, 0.333, 0.153)
Sm (0.667, 0.333, 0.847)
Sm (0.333, 0.667, 0.684)
Sm (0.333, 0.667, 0.316)
Sm (0.000, 0.000, 0.000)
Y (0.333, 0.667, 0.000)

Output
Formation energy   0.30 eV per atom
Calculated total energy   -4.468 eV/atom
SG   No. 187

Entry 2:
Material: Al8NiPt2
Method: DFT, PBE-GGA
State: relaxed

Cell lengths 4.371, 7.697, 6.687 Å; angles 125.14, 109.01, 90.00 degrees
Fractional coordinates of all 11 atoms:
Al (0.871, 0.870, 0.740)
Al (0.129, 0.130, 0.260)
Al (0.647, 0.435, 0.294)
Al (0.000, 0.678, 0.000)
Al (0.647, 0.859, 0.294)
Al (0.353, 0.565, 0.706)
Al (0.353, 0.141, 0.706)
Al (0.000, 0.322, 0.000)
Pt (0.782, 0.283, 0.565)
Pt (0.218, 0.717, 0.435)
Ni (0.500, 0.000, 0.000)

Output
Formation energy   -0.48 eV per atom
Calculated total energy   -4.828 eV/atom
SG   No. 12

Entry 3:
Material: K2NaInH
Method: DFT, PBE-GGA
State: relaxed

Cell lengths 5.510, 5.510, 5.131 Å; angles 90.00, 90.00, 90.00 degrees
Fractional coordinates of all 5 atoms:
H (0.000, 0.000, 0.000)
K (0.000, 0.500, 0.000)
K (0.500, 0.000, 0.000)
In (0.500, 0.500, 0.500)
Na (0.000, 0.000, 0.500)

Output
Calculated total energy   -1.916 eV/atom
SG   No. 123

Entry 4:
Material: Ba2PuAl3Ga12
Method: DFT, PBE-GGA
State: relaxed

Cell lengths 11.222, 11.222, 11.222 Å; angles 35.44, 35.44, 35.44 degrees
Last column: magnetic moment on the atom in μB.
Fractional coordinates of all 18 atoms:
Al (0.000, 0.500, 0.000)  0.00
Al (0.000, 0.000, 0.500)  0.00
Al (0.500, 0.000, 0.000)  0.00
Ga (0.934, 0.934, 0.360)  0.01
Ga (0.360, 0.934, 0.934)  0.01
Ga (0.934, 0.360, 0.934)  0.01
Ga (0.411, 0.814, 0.411)  0.01
Ga (0.589, 0.589, 0.186)  0.01
Ga (0.186, 0.589, 0.589)  0.01
Ga (0.066, 0.066, 0.640)  0.01
Ga (0.814, 0.411, 0.411)  0.01
Ga (0.589, 0.186, 0.589)  0.01
Ga (0.066, 0.640, 0.066)  0.01
Ga (0.411, 0.411, 0.814)  0.01
Ga (0.640, 0.066, 0.066)  0.01
Ba (0.356, 0.356, 0.356)  0.06
Ba (0.644, 0.644, 0.644)  0.06
Pu (0.000, 0.000, 0.000)  5.50

Output
Formation energy   -0.07 eV per atom
Calculated total energy   -3.722 eV/atom
SG   No. 166

Entry 5:
Material: VBOs
Method: DFT, PBE-GGA
State: relaxed

Cell lengths 2.738, 2.738, 4.935 Å; angles 106.11, 106.11, 90.00 degrees
Fractional coordinates of all 3 atoms:
Os (0.649, 0.649, 0.298)
V (0.930, 0.930, 0.861)
B (0.270, 0.270, 0.541)

Output
Formation energy   -0.14 eV per atom
Calculated total energy   -9.145 eV/atom
SG   No. 107

Entry 6:
Material: GdDyPd
Method: DFT, PBE-GGA
State: relaxed

Cell lengths 3.588, 3.588, 6.439 Å; angles 106.18, 106.18, 90.00 degrees
Last column: magnetic moment on the atom in μB.
Fractional coordinates of all 3 atoms:
Pd (0.671, 0.671, 0.343)  0.03
Dy (0.307, 0.307, 0.614)  0.29
Gd (0.022, 0.022, 0.044)  7.30

Output
Formation energy   -0.55 eV per atom
Calculated total energy   -8.504 eV/atom
SG   No. 107

calculated total energy of number 2 (Al8NiPt2)? -4.828 eV/atom

What is the calculated total energy in the fourth record? -3.722 eV/atom